! MnZnSi PBE relaxed; values from VASP
! - Uncorrected formation energy: 77 meV per atom
! - Mass density: 6.1 g/cm3
&SYSTEM
  ibrav = 0, nat = 6, ntyp = 3
/
ATOMIC_SPECIES
Mn 54.94 Mn.upf
Zn 65.41 Zn.upf
Si 28.09 Si.upf
CELL_PARAMETERS angstrom
2.683 0.000 0.000
0.000 2.683 0.000
0.000 0.000 11.208
ATOMIC_POSITIONS angstrom
Mn 0.000 0.000 0.000
Mn 1.342 1.342 5.604
Zn 0.000 0.000 7.507
Zn 1.342 1.342 1.903
Si 0.000 0.000 3.986
Si 1.342 1.342 9.590